Record 1
Here is a geometry-optimized TlMoPt2Se structure from Alexandria via LeMat-Bulk. Energies are from GGA-PBE.

Lattice parameters (Å, degrees): 4.7062 4.7062 5.4865 90.00 90.00 90.00
Site moments in Bohr magnetons follow the coordinates.
Fractional positions:
Tl  0.0000  0.0000  0.5000  0.01
Pt  0.0000  0.5000  0.0000  0.06
Mo  0.5000  0.5000  0.5000  3.53
Pt  0.5000  0.0000  0.0000  0.06
Se  0.0000  0.0000  0.0000  0.04

Calculated values
VASP energy = -23.08 eV/f.u.
Magnetization = 4.462 μB/f.u.
Energy relative to the elements, uncorrected = 5.681 eV/f.u.

---

Record 2
Here is a geometry-optimized YMoPt2Se structure from Alexandria via LeMat-Bulk. Energies are from GGA-PBE.

Lattice parameters (Å, degrees): 4.9350 4.7259 4.9350 90.00 90.00 90.00
Fractional positions:
Mo  0.0000  0.0000  0.0000
Pt  0.5000  0.0000  0.0000
Y  0.5000  0.5000  0.5000
Se  0.0000  0.5000  0.0000
Pt  0.0000  0.0000  0.5000

Calculated values
VASP energy = -33.23 eV/f.u.
Magnetization = 0.000 μB/f.u.
Energy relative to the elements, uncorrected = -0.370 eV/f.u.

---

Record 3
Here is a geometry-optimized Si2MoPt structure from Alexandria via LeMat-Bulk. Energies are from GGA-PBE.

Lattice parameters (Å, degrees): 2.7672 3.9729 5.2678 90.00 90.00 90.00
Fractional positions:
Pt  0.5000  0.5000  0.7930
Si  0.5000  0.5000  0.2838
Si  0.0000  0.0000  0.9705
Mo  0.0000  0.0000  0.4527

Calculated values
VASP energy = -28.88 eV/f.u.
Magnetization = 0.000 μB/f.u.
Energy relative to the elements, uncorrected = -1.163 eV/f.u.

---

Record 4
Here is a geometry-optimized SiMo2Pt structure from Alexandria via LeMat-Bulk. Energies are from GGA-PBE.

Lattice parameters (Å, degrees): 4.1458 2.7666 5.6255 68.17 90.00 90.00
Fractional positions:
Si  0.5000  0.7500  0.7500
Pt  0.5000  0.2500  0.2500
Mo  0.0000  0.5490  0.5189
Mo  0.0000  0.9510  0.9811

Calculated values
VASP energy = -34.03 eV/f.u.
Magnetization = 0.000 μB/f.u.
Energy relative to the elements, uncorrected = -0.905 eV/f.u.